1.
Here is an optimized crystal structure of Ta2FeBr from Alexandria. Energies are from PBE.

E above lowest polymorph: 199 meV per atom
formation energy without anion corrections: 0.30 eV/atom

Cell lengths 3.1475, 3.1475, 7.1922 Å; angles 90.00, 90.00, 90.00 degrees
Last column: nearest neighbours and their distance in Å.
Fractional positions:
Ta1 0.0000 0.0000 0.9703  4 Fe 2.51
Ta2 0.5000 0.5000 0.2321  4 Br 2.89, 8 Ta 2.92-3.15, 1 Fe 3.03
Fe1 0.5000 0.5000 0.8102  4 Ta 2.51
Br1 0.0000 0.0000 0.4874  4 Ta 2.89, 4 Br 3.15, 4 Fe 3.22

=====

2.
Here is an optimized crystal structure of Ta2FeBr from Alexandria. Energies are from PBE.

E above lowest polymorph: 256 meV per atom
formation energy without anion corrections: 0.36 eV/atom

Cell lengths 3.0199, 3.0199, 8.6423 Å; angles 90.00, 90.00, 113.33 degrees
Last column: nearest neighbours and their distance in Å.
Fractional positions:
Ta1 0.5000 0.5000 0.2464  2 Br 2.76, 6 Ta 2.79-3.02
Ta2 0.0000 0.0000 0.9865  2 Fe 2.53, 2 Ta 2.79
Br1 0.0000 0.0000 0.5015  2 Ta 2.76, 2 Fe 2.82, 4 Br 3.02
Fe1 0.5000 0.5000 0.7657  2 Ta 2.53, 2 Br 2.82

=====

3.
Here is an optimized crystal structure of Ta4FeBr from Alexandria. Energies are from PBE.

formation energy without anion corrections: 0.97 eV/atom

Cell lengths 5.5016, 5.5016, 5.5016 Å; angles 60.00, 60.00, 60.00 degrees
Last column: nearest neighbours and their distance in Å.
Fractional positions:
Ta1 0.8796 0.3735 0.3735  6 Ta 2.72-2.78
Ta2 0.3735 0.3735 0.3735  6 Ta 2.72-2.78
Ta3 0.3735 0.8796 0.3735  6 Ta 2.72-2.78
Ta4 0.3735 0.3735 0.8796  6 Ta 2.72-2.78
Br1 0.7500 0.7500 0.7500  12 Ta 3.23, 4 Fe 3.37
Fe1 0.0000 0.0000 0.0000  12 Ta 3.22, 4 Br 3.37

=====

4.
Here is an optimized crystal structure of TaFe2Br from Alexandria. Energies are from PBE.

E above lowest polymorph: 585 meV per atom
formation energy without anion corrections: 0.85 eV/atom

Cell lengths 4.3921, 4.3921, 4.3921 Å; angles 60.00, 60.00, 60.00 degrees
Last column: nearest neighbours and their distance in Å.
Fractional positions:
Fe1 0.7500 0.7500 0.7500  4 Ta 2.69, 4 Br 2.69
Fe2 0.2500 0.2500 0.2500  4 Ta 2.69, 4 Br 2.69
Br1 0.0000 0.0000 0.0000  8 Fe 2.69
Ta1 0.5000 0.5000 0.5000  8 Fe 2.69

=====

5.
Here is an optimized crystal structure of TaFe2Br from Alexandria. Energies are from PBE.

E above lowest polymorph: 13 meV per atom
formation energy without anion corrections: 0.28 eV/atom

Cell lengths 3.2045, 3.3048, 6.5751 Å; angles 90.15, 90.00, 90.00 degrees
Last column: nearest neighbours and their distance in Å.
Fractional positions:
Fe1 0.0000 0.7492 0.0662  1 Fe 2.42, 4 Ta 2.60, 2 Br 2.62
Fe2 0.0000 0.7508 0.4338  1 Fe 2.42, 4 Ta 2.60, 2 Br 2.62
Ta1 0.5000 0.2500 0.2500  8 Fe 2.60
Br1 0.5000 0.7500 0.7500  4 Fe 2.62

=====

6.
Here is an optimized crystal structure of TaFe2Br from Alexandria. Energies are from PBE.

E above lowest polymorph: 152 meV per atom
formation energy without anion corrections: 0.41 eV/atom

Cell lengths 8.6308, 8.6308, 8.6308 Å; angles 20.47, 20.47, 20.47 degrees
Last column: nearest neighbours and their distance in Å.
Fractional positions:
Br1 0.7592 0.7592 0.7592  3 Ta 2.69
Ta1 0.5056 0.5056 0.5056  3 Fe 2.68, 3 Br 2.69
Fe1 0.2515 0.2515 0.2515  3 Fe 2.43, 3 Ta 2.68
Fe2 0.9837 0.9837 0.9837  3 Fe 2.43